LiHo3Tm2Se6: optimized geometry, PBE-GGA.

Summary:
The total DFT energy (no corrections) is -0.2023 Ha/atom. The uncorrected formation energy is -1.71 eV/atom. Its space group is C2/m.

Cell: 6.949 6.949 6.987 Å, 99.58 99.58 120.11°
Sites, in units of the cell vectors:
Li  0.000  0.000  0.000
Ho  0.167  0.833  0.500
Ho  0.500  0.500  0.500
Ho  0.833  0.167  0.500
Tm  0.335  0.665  0.000
Tm  0.665  0.335  0.000
Se  0.080  0.406  0.242
Se  0.244  0.244  0.760
Se  0.406  0.080  0.242
Se  0.594  0.920  0.758
Se  0.756  0.756  0.240
Se  0.920  0.594  0.758